Density functional theory data (PBE) for a relaxed structure of CdCoGeP.

energy above the lowest structure with this stoichiometry	0	meV/atom
formation energy from the elements	-109	meV/atom
total DFT energy (no corrections)	-4.621	eV per atom
total magnetization	0.00	μB/f.u.
crystal system	trigonal

Cell lengths 3.7587, 3.7587, 5.6010 Å; angles 90.00, 90.00, 120.00 degrees
Closest atoms and distances in Å follow each position.
Sites, in units of the cell vectors:
Cd: 0.0000 0.0000 0.5652  1 Co 2.61, 3 Ge 2.83
Co: 0.0000 0.0000 0.0984  3 P 2.23, 3 Ge 2.46
Ge: 0.6667 0.3333 0.8908  3 Co 2.46, 3 P 2.74
P: 0.3333 0.6667 0.1893  3 Co 2.23

=====

Density functional theory data (PBE) for a relaxed structure of CdCoGe2P.

energy above the lowest structure with this stoichiometry	114	meV/atom
formation energy from the elements	92	meV/atom
total DFT energy (no corrections)	-4.441	eV per atom
total magnetization	0.00	μB/f.u.
crystal system	monoclinic

Cell lengths 4.7318, 3.5357, 5.6380 Å; angles 90.00, 103.86, 90.00 degrees
Closest atoms and distances in Å follow each position.
Sites, in units of the cell vectors:
Cd: 0.9990 0.5000 0.8166  2 P 2.73-3.04, 2 Co 2.75, 2 Ge 3.04-3.05
Co: 0.0822 0.0000 0.2004  2 P 2.23, 1 Ge 2.46
Ge: 0.5274 0.0000 0.0469  2 Co 2.46-2.56, 2 P 2.61
Ge: 0.3981 0.5000 0.4661  2 P 2.47-2.53, 2 Co 2.56
P: 0.8626 0.5000 0.3176  2 Co 2.23, 1 Ge 2.47

=====

Density functional theory data (PBE) for a relaxed structure of CdCoGeP.

energy above the lowest structure with this stoichiometry	72	meV/atom
formation energy from the elements	-37	meV/atom
total DFT energy (no corrections)	-4.549	eV per atom
total magnetization	0.23	μB/f.u.
crystal system	orthorhombic

Cell lengths 2.7646, 4.6359, 10.2816 Å; angles 90.00, 90.00, 90.00 degrees
Closest atoms and distances in Å follow each position.
Sites, in units of the cell vectors:
Cd: 0.0000 0.0000 0.2788  4 Co 2.70, 2 Cd 2.76, 2 P 3.00, 2 Ge 3.01
Cd: 0.0000 0.5000 0.7788  4 Co 2.70, 2 Cd 2.76, 2 P 3.00, 2 Ge 3.01
Co: 0.5000 0.0000 0.7962  2 P 2.22
Co: 0.5000 0.5000 0.2962  2 P 2.22
Ge: 0.0000 0.0000 0.5923  2 Co 2.51, 2 P 2.66, 2 Ge 2.76
Ge: 0.0000 0.5000 0.0923  2 Co 2.51, 2 P 2.66, 2 Ge 2.76
P: 0.0000 0.0000 0.9647  2 Co 2.22
P: 0.0000 0.5000 0.4647  2 Co 2.22

=====

Density functional theory data (PBE) for a relaxed structure of CdCoGe2P.

energy above the lowest structure with this stoichiometry	48	meV/atom
formation energy from the elements	26	meV/atom
total DFT energy (no corrections)	-4.507	eV per atom
total magnetization	0.00	μB/f.u.
crystal system	monoclinic

Cell lengths 5.4558, 2.9647, 5.6565 Å; angles 90.00, 110.03, 90.00 degrees
Closest atoms and distances in Å follow each position.
Sites, in units of the cell vectors:
Cd: 0.4103 0.0000 0.4141  1 Co 2.69, 4 Ge 2.92-2.96, 2 Cd 2.96
Co: 0.9182 0.0000 0.0840  2 P 2.20
Ge: 0.8843 0.5000 0.4287  2 Co 2.51, 1 P 2.52
Ge: 0.5399 0.5000 0.8869  1 P 2.47, 2 Co 2.47
P: 0.0933 0.5000 0.9018  2 Co 2.20

=====

Density functional theory data (PBE) for a relaxed structure of CdCoGe2P.

energy above the lowest structure with this stoichiometry	9	meV/atom
formation energy from the elements	-13	meV/atom
total DFT energy (no corrections)	-4.546	eV per atom
total magnetization	0.00	μB/f.u.
crystal system	monoclinic

Cell lengths 3.5792, 4.9329, 6.0090 Å; angles 72.50, 72.73, 68.67 degrees
Closest atoms and distances in Å follow each position.
Sites, in units of the cell vectors:
Cd: 0.5812 0.4259 0.6281  3 Co 2.75-2.81, 1 Ge 2.83
Co: 0.2347 0.9681 0.7799  1 P 2.18, 3 Ge 2.32
Ge: 0.7703 0.7008 0.9773  2 Co 2.32, 1 P 2.40
Ge: 0.4128 0.0242 0.3682  1 Co 2.32, 2 P 2.38
P: 0.9792 0.1656 0.0927  1 Co 2.18, 3 Ge 2.38-2.40

=====

Density functional theory data (PBE) for a relaxed structure of CdCoGe2P.

energy above the lowest structure with this stoichiometry	56	meV/atom
formation energy from the elements	34	meV/atom
total DFT energy (no corrections)	-4.499	eV per atom
total magnetization	0.00	μB/f.u.
crystal system	orthorhombic

Cell lengths 2.8654, 7.6129, 7.9519 Å; angles 90.00, 90.00, 90.00 degrees
Closest atoms and distances in Å follow each position.
Sites, in units of the cell vectors:
Cd: 0.0000 0.0000 0.4331  4 Ge 2.68-2.82, 2 Co 2.81, 2 Cd 2.87
Cd: 0.0000 0.5000 0.9331  4 Ge 2.68-2.82, 2 Co 2.81, 2 Cd 2.87
Co: 0.5000 0.0000 0.1288  2 P 2.22
Co: 0.5000 0.5000 0.6288  2 P 2.22
Ge: 0.0000 0.2340 0.6856  2 Co 2.52, 1 P 2.55, 2 Cd 2.68-2.82
Ge: 0.0000 0.7660 0.6856  2 Co 2.52, 1 P 2.55, 2 Cd 2.68-2.82
Ge: 0.0000 0.7340 0.1856  2 Co 2.52, 1 P 2.55, 2 Cd 2.68-2.82
Ge: 0.0000 0.2660 0.1856  2 Co 2.52, 1 P 2.55, 2 Cd 2.68-2.82
P: 0.0000 0.0000 0.9151  2 Co 2.22
P: 0.0000 0.5000 0.4151  2 Co 2.22

=====

Density functional theory data (PBE) for a relaxed structure of CdCoGeP.

energy above the lowest structure with this stoichiometry	53	meV/atom
formation energy from the elements	-57	meV/atom
total DFT energy (no corrections)	-4.569	eV per atom
total magnetization	0.50	μB/f.u.
crystal system	monoclinic

Cell lengths 2.8110, 2.8104, 8.5349 Å; angles 90.00, 90.69, 90.00 degrees
Closest atoms and distances in Å follow each position.
Sites, in units of the cell vectors:
Cd: 0.1269 0.5000 0.2495  4 Cd 2.81, 4 Co 2.90, 1 Ge 2.91
Co: 0.6373 0.0000 0.4975  4 P 2.24
Ge: 0.1604 0.5000 0.9086  1 P 2.47
P: 0.1416 0.5000 0.6193  4 Co 2.24, 1 Ge 2.47

=====

Density functional theory data (PBE) for a relaxed structure of CdCoGe2P.

energy above the lowest structure with this stoichiometry	67	meV/atom
formation energy from the elements	45	meV/atom
total DFT energy (no corrections)	-4.488	eV per atom
total magnetization	0.26	μB/f.u.
crystal system	monoclinic

Cell lengths 5.3628, 2.8359, 5.9343 Å; angles 90.00, 90.50, 90.00 degrees
Closest atoms and distances in Å follow each position.
Sites, in units of the cell vectors:
Cd: 0.3698 0.5000 0.3208  2 Co 2.81, 2 Cd 2.84, 2 P 2.87-3.15, 3 Ge 2.87-3.13
Co: 0.1211 0.0000 0.9763  2 P 2.19
Ge: 0.4517 0.5000 0.7995  2 Co 2.51, 1 P 2.69, 1 Ge 2.73
Ge: 0.9344 0.5000 0.6575  2 Co 2.56, 1 P 2.63, 3 Ge 2.73-2.84
P: 0.8385 0.5000 0.0920  2 Co 2.19

=====

Density functional theory data (PBE) for a relaxed structure of CdCoGeP.

energy above the lowest structure with this stoichiometry	67	meV/atom
formation energy from the elements	-43	meV/atom
total DFT energy (no corrections)	-4.555	eV per atom
total magnetization	0.00	μB/f.u.
crystal system	triclinic

Cell lengths 2.9876, 4.3360, 6.0254 Å; angles 70.26, 81.58, 71.56 degrees
Closest atoms and distances in Å follow each position.
Sites, in units of the cell vectors:
Cd: 0.0389 0.1070 0.1000  2 P 2.67-2.78, 2 Co 2.84-2.85, 1 Ge 2.96, 2 Cd 2.99
Co: 0.5402 0.3667 0.6751  2 P 2.20, 3 Ge 2.32-2.40
Ge: 0.8185 0.7830 0.7309  3 Co 2.32-2.40
P: 0.0750 0.4787 0.3904  2 Co 2.20

=====

Density functional theory data (PBE) for a relaxed structure of CdCoGe2P.

energy above the lowest structure with this stoichiometry	55	meV/atom
formation energy from the elements	34	meV/atom
total DFT energy (no corrections)	-4.499	eV per atom
total magnetization	0.00	μB/f.u.
crystal system	triclinic

Cell lengths 4.3907, 4.4003, 4.7702 Å; angles 103.63, 92.05, 92.88 degrees
Closest atoms and distances in Å follow each position.
Sites, in units of the cell vectors:
Cd: 0.3144 0.0295 0.2218  2 Co 2.68-2.87, 1 P 2.72, 4 Ge 2.74-2.96
Co: 0.7596 0.6852 0.9683  2 P 2.22-2.32, 3 Ge 2.38-2.45
Ge: 0.2737 0.4803 0.7220  2 Co 2.42-2.68, 1 P 2.49
Ge: 0.8211 0.7527 0.4777  2 Co 2.38-2.45, 1 P 2.40
P: 0.8530 0.1829 0.8947  2 Co 2.22-2.32, 1 Ge 2.40

=====

Density functional theory data (PBE) for a relaxed structure of CdCoGe2P.

energy above the lowest structure with this stoichiometry	78	meV/atom
formation energy from the elements	56	meV/atom
total DFT energy (no corrections)	-4.477	eV per atom
total magnetization	0.00	μB/f.u.
crystal system	triclinic

Cell lengths 4.0843, 4.1010, 6.3107 Å; angles 103.93, 99.42, 97.70 degrees
Closest atoms and distances in Å follow each position.
Sites, in units of the cell vectors:
Cd: 0.9757 0.1402 0.1556  1 Ge 2.64, 2 Co 2.65-2.82, 1 P 2.94
Co: 0.8073 0.5347 0.8588  2 P 2.09-2.10, 1 Ge 2.35
Ge: 0.0094 0.6105 0.5305  1 Co 2.42, 2 Ge 2.50-2.51, 1 Cd 2.64, 1 P 2.71
Ge: 0.5892 0.9697 0.6488  1 Co 2.35, 2 Ge 2.50-2.51
P: 0.3339 0.5925 0.9369  2 Co 2.09-2.10

=====

Density functional theory data (PBE) for a relaxed structure of CdCoGe2P.

energy above the lowest structure with this stoichiometry	66	meV/atom
formation energy from the elements	44	meV/atom
total DFT energy (no corrections)	-4.489	eV per atom
total magnetization	0.24	μB/f.u.
crystal system	triclinic

Cell lengths 2.8427, 5.7220, 5.8560 Å; angles 68.27, 80.70, 86.37 degrees
Closest atoms and distances in Å follow each position.
Sites, in units of the cell vectors:
Cd: 0.9214 0.4993 0.4876  2 Co 2.69-3.01, 2 Ge 2.74-2.75, 2 Cd 2.84, 1 P 2.92
Co: 0.4134 0.8028 0.0587  2 P 2.18-2.20, 1 Ge 2.42
Ge: 0.6160 0.0164 0.6089  1 Co 2.45, 1 P 2.49
Ge: 0.9459 0.4980 0.9533  2 Co 2.42-2.56, 1 P 2.52
P: 0.8405 0.0295 0.1759  2 Co 2.18-2.20

=====

What is the formula in the third record?
CdCoGeP

=====

formation energy from the elements of number 1 (CdCoGeP)?
-109 meV/atom

=====

Look up the total DFT energy (no corrections) of the fifth one.
-4.546 eV per atom

=====

The highest total magnetization belongs to which entry?
number 7